DFT (PBE) results for an optimized crystal structure of Y2Fe3W4N3.

Calculated values
Energy   -0.7247 Ry/atom
V   327.2 Å³ per cell
Total magnetization   10.0 Bohr magnetons per cell

Cell lengths 5.355, 5.355, 13.500 Å; angles 101.30, 101.30, 60.20 degrees
Fractional coordinates of all 24 atoms:
Y: 0.041 0.877 0.625
Y: 0.123 0.959 0.875
Y: 0.877 0.041 0.125
Y: 0.959 0.123 0.375
Fe: 0.083 0.415 0.751
Fe: 0.415 0.083 0.251
Fe: 0.419 0.581 0.250
Fe: 0.581 0.419 0.750
Fe: 0.585 0.917 0.749
Fe: 0.917 0.585 0.249
W: 0.196 0.362 0.086
W: 0.307 0.472 0.414
W: 0.362 0.196 0.586
W: 0.472 0.307 0.914
W: 0.528 0.693 0.086
W: 0.638 0.804 0.414
W: 0.693 0.528 0.586
W: 0.804 0.638 0.914
N: 0.000 0.500 0.500
N: 0.158 0.681 0.000
N: 0.319 0.842 0.500
N: 0.500 0.000 0.000
N: 0.681 0.158 0.500
N: 0.842 0.319 0.000

=====

DFT (PBE) results for an optimized crystal structure of NbCuNiSb.

Calculated values
V   249.5 Å³ per cell
Energy above the lowest structure with this stoichiometry   0.017 eV per atom
Total magnetization   3.7 Bohr magnetons per cell

Cell lengths 6.296, 6.296, 6.296 Å; angles 90.00, 90.00, 90.00 degrees
Fractional coordinates of all 16 atoms:
Nb: 0.000 0.000 0.000
Nb: 0.000 0.500 0.500
Nb: 0.500 0.000 0.500
Nb: 0.500 0.500 0.000
Cu: 0.250 0.250 0.750
Cu: 0.250 0.750 0.250
Cu: 0.750 0.250 0.250
Cu: 0.750 0.750 0.750
Ni: 0.250 0.250 0.250
Ni: 0.250 0.750 0.750
Ni: 0.750 0.250 0.750
Ni: 0.750 0.750 0.250
Sb: 0.000 0.000 0.500
Sb: 0.000 0.500 0.000
Sb: 0.500 0.000 0.000
Sb: 0.500 0.500 0.500

=====

Repeat the first record exactly.
DFT (PBE) results for an optimized crystal structure of Y2Fe3W4N3.

Calculated values
Energy   -0.7247 Ry/atom
V   327.2 Å³ per cell
Total magnetization   10.0 Bohr magnetons per cell

Cell lengths 5.355, 5.355, 13.500 Å; angles 101.30, 101.30, 60.20 degrees
Fractional coordinates of all 24 atoms:
Y: 0.041 0.877 0.625
Y: 0.123 0.959 0.875
Y: 0.877 0.041 0.125
Y: 0.959 0.123 0.375
Fe: 0.083 0.415 0.751
Fe: 0.415 0.083 0.251
Fe: 0.419 0.581 0.250
Fe: 0.581 0.419 0.750
Fe: 0.585 0.917 0.749
Fe: 0.917 0.585 0.249
W: 0.196 0.362 0.086
W: 0.307 0.472 0.414
W: 0.362 0.196 0.586
W: 0.472 0.307 0.914
W: 0.528 0.693 0.086
W: 0.638 0.804 0.414
W: 0.693 0.528 0.586
W: 0.804 0.638 0.914
N: 0.000 0.500 0.500
N: 0.158 0.681 0.000
N: 0.319 0.842 0.500
N: 0.500 0.000 0.000
N: 0.681 0.158 0.500
N: 0.842 0.319 0.000